Record 1
The following is a DFT calculation (GGA-PBE) of a relaxed Cs2BeBSe4 crystal.

Calculated values
The value obtained for the energy is -253.83 eV for the cell shown. Its total magnetic moment is 0.041 μB/atom. As for the formation energy (no corrections): -548 kJ/mol of formula units. As for the crystal system: orthorhombic.

a = 5.5547 Å, b = 14.2360 Å, c = 26.2416 Å
α = 90.00°, β = 90.00°, γ = 90.00°
Last column: nearest neighbours and their distance in Å.
Space group Fddd (No. 70, origin choice 2)
One atom of each set of equivalent atoms:
1 Cs 0.1250 0.1250 0.3006 [16 per cell]  8 Se 3.66-3.94
2 Be 0.1250 0.1250 0.1250 [8 per cell]  4 Se 2.24
3 B 0.1250 0.1250 0.6250 [8 per cell]  4 Se 2.08
4 Se 0.1031 0.2936 0.8302 [32 per cell]  1 B 2.08, 1 Be 2.24


Record 2
The following is a DFT calculation (GGA-PBE) of a relaxed K2Bi6Au3 crystal.

Calculated values
The value obtained for the energy is -36.99 eV for the cell shown. Its total magnetic moment is 0.000 μB/atom. The formation energy comes out at -1.67 eV per formula unit. As for the crystal system: hexagonal.

a = 8.8173 Å, b = 8.8173 Å, c = 5.2876 Å
α = 90.00°, β = 90.00°, γ = 120.00°
Last column: nearest neighbours and their distance in Å.
Space group P-62m (No. 189)
One atom of each set of equivalent atoms:
1 K 0.3333 0.6667 0.0000 [2 per cell]  3 Bi 3.60, 6 Au 3.83
2 Bi 0.0000 0.2114 0.0000 [3 per cell]  2 Au 3.02, 2 Bi 3.23
3 Bi 0.0000 0.6970 0.5000 [3 per cell]  3 Au 2.82-3.05
4 Au 0.0000 0.3777 0.5000 [3 per cell]  5 Bi 2.82-3.05


Record 3
The following is a DFT calculation (GGA-PBE) of a relaxed MnTlTe2 crystal.

Calculated values
The value obtained for the energy is -51.08 eV for the cell shown. Its total magnetic moment is 0.917 μB/atom. As for the formation energy (no corrections): 76 kJ/mol of formula units. As for the crystal system: trigonal.

a = 3.6395 Å, b = 3.6395 Å, c = 29.9317 Å
α = 90.00°, β = 90.00°, γ = 120.00°
Last column: nearest neighbours and their distance in Å.
Space group R3m (No. 160, hexagonal axes)
One atom of each set of equivalent atoms:
1 Mn 0.0000 0.0000 0.0000 [3 per cell]  3 Te 2.66
2 Tl 0.0000 0.0000 0.4096 [3 per cell]  3 Mn 3.10, 3 Te 3.21
3 Te 0.0000 0.0000 0.2788 [3 per cell]  3 Mn 2.66
4 Te 0.0000 0.0000 0.8239 [3 per cell]  3 Tl 3.21


Record 4
The following is a DFT calculation (GGA-PBE) of a relaxed SrUBO6 crystal.

Calculated values
The value obtained for the energy is -72.86 eV for the cell shown. Its total magnetic moment is 0.113 μB/atom. As for the formation energy (no corrections): -2263 kJ/mol of formula units. As for the crystal system: triclinic.

a = 4.7579 Å, b = 5.3528 Å, c = 5.8955 Å
α = 88.41°, β = 69.58°, γ = 86.38°
Last column: nearest neighbours and their distance in Å.
Space group P1 (No. 1)
One atom of each set of equivalent atoms:
1 Sr 0.0000 0.0000 0.0000 [1 per cell]  6 O 2.47-2.73
2 U 0.3321 0.4793 0.3996 [1 per cell]  3 O 1.88-1.96
3 B 0.4651 0.5483 0.9141 [1 per cell]  3 O 1.38-1.40
4 O 0.0317 0.7191 0.3855 [1 per cell]  1 U 1.88
5 O 0.0827 0.2295 0.6146 [1 per cell]  1 U 1.96
6 O 0.3674 0.3201 0.0216 [1 per cell]  1 B 1.39
7 O 0.3828 0.6525 0.7289 [1 per cell]  1 B 1.38
8 O 0.5977 0.6915 0.0392 [1 per cell]  1 B 1.40
9 O 0.6697 0.2628 0.3658 [1 per cell]  1 U 1.88


Record 5
The following is a DFT calculation (GGA-PBE) of a relaxed Mg2ZnSb crystal.

Calculated values
The value obtained for the energy is -9.01 eV for the cell shown. Its total magnetic moment is 0.000 μB/atom. The offset from the most stable computed form comes out at 36 meV per atom. As for the formation energy (no corrections): -41 kJ/mol of formula units. As for the crystal system: monoclinic.

a = 3.2745 Å, b = 4.0609 Å, c = 6.4280 Å
α = 90.00°, β = 90.80°, γ = 90.00°
Last column: nearest neighbours and their distance in Å.
Space group P2/m (No. 10)
One atom of each set of equivalent atoms:
1 Mg 0.0043 0.0000 0.2676 [2 per cell]  4 Zn 2.99-3.02, 3 Mg 2.99-3.27, 4 Sb 3.12-3.13
2 Zn 0.5000 0.5000 0.5000 [1 per cell]  8 Mg 2.99-3.02, 2 Sb 3.21, 2 Zn 3.27
3 Sb 0.5000 0.5000 0.0000 [1 per cell]  8 Mg 3.12-3.13, 2 Zn 3.21, 2 Sb 3.27


Record 6
The following is a DFT calculation (GGA-PBE) of a relaxed Ta2VCdN crystal.

Calculated values
The value obtained for the energy is -25.95 eV for the cell shown. Its total magnetic moment is 0.000 μB/atom. As for the formation energy (no corrections): 1555 kJ/mol of formula units. As for the crystal system: tetragonal.

a = 4.9706 Å, b = 4.9706 Å, c = 4.6700 Å
α = 90.00°, β = 90.00°, γ = 90.00°
Last column: nearest neighbours and their distance in Å.
Space group P4/mmm (No. 123)
One atom of each set of equivalent atoms:
1 Ta 0.0000 0.5000 0.0000 [2 per cell]  2 Cd 2.49
2 V 0.0000 0.0000 0.5000 [1 per cell]  2 Cd 2.34
3 Cd 0.0000 0.0000 0.0000 [1 per cell]  2 V 2.34, 4 Ta 2.49
4 N 0.5000 0.5000 0.5000 [1 per cell]  8 Ta 3.41, 4 V 3.51